# 1
Density functional theory data (PBE) for Tb2Pm7Ho after structural relaxation.

## Properties
Its density of states at the Fermi level is 1.500 states/eV per atom. The calculation puts the polymorph energy (0 for the lowest one) at 0.2595 eV per atom. The calculation puts the formation energy at 626 kJ/mol of formula units. As for the electronic total energy: -81.216 eV for the cell shown. For the total magnetic moment, the calculation gives 0.0000 μB/atom.

abc: 8.7653 16.8193 5.5326
angles: 90.00 90.00 90.00
Closest atoms and distances in Å follow each position.
Space group Cmmm (No. 65)
Asymmetric unit:
Tb: 0.0000 0.2052 0.0000 (multiplicity 4)  7 Pm 3.11-3.47
Pm: 0.0000 0.0000 0.0000 (multiplicity 2)  4 Pm 3.38, 2 Tb 3.45
Pm: 0.0000 0.2897 0.5000 (multiplicity 4)  2 Tb 3.11
Pm: 0.1789 0.3890 0.0000 (multiplicity 8)  2 Pm 3.14-3.38, 2 Tb 3.23-3.47
Ho: 0.0000 0.5000 0.5000 (multiplicity 2)  10 Pm 3.54-3.69

=====

# 2
Density functional theory data (PBE) for LaFe12B6 after structural relaxation.

## Properties
Its density of states at the Fermi level is 0.856 states/eV per atom. The calculation puts the formation energy at -502 kJ/mol of formula units. As for the electronic total energy: -455.254 eV for the cell shown. For the total magnetic moment, the calculation gives 0.9633 μB/atom.

abc: 9.5918 9.5918 7.4796
angles: 90.00 90.00 120.00
Closest atoms and distances in Å follow each position.
Space group R-3m (No. 166, hexagonal axes)
Asymmetric unit:
La: 0.0000 0.0000 0.0000 (multiplicity 3)  6 B 3.05, 18 Fe 3.13-3.29
Fe: 0.0000 0.3685 0.5000 (multiplicity 18)  4 B 2.06
Fe: 0.0897 0.1795 0.3680 (multiplicity 18)  3 B 2.14-2.19
B: 0.0316 0.5158 0.2859 (multiplicity 18)  7 Fe 2.06-2.19

=====

# 3
Density functional theory data (PBE) for Pm2GdH after structural relaxation.

## Properties
Its density of states at the Fermi level is 0.980 states/eV per atom. The calculation puts the polymorph energy (0 for the lowest one) at 0.0000 eV per atom. As for the electronic total energy: -82.691 eV for the cell shown. For the total magnetic moment, the calculation gives 1.8034 μB/atom.

abc: 3.6812 3.6812 26.1494
angles: 90.00 90.00 120.00
Closest atoms and distances in Å follow each position.
Space group R-3m (No. 166, hexagonal axes)
Asymmetric unit:
Pm: 0.0000 0.0000 0.2215 (multiplicity 6)  3 H 2.56
Gd: 0.0000 0.0000 0.0000 (multiplicity 3)  6 Pm 3.61, 6 Gd 3.68
H: 0.0000 0.0000 0.5000 (multiplicity 3)  6 Pm 2.56